{"formula": "Ac2Sc3Pb4", "functional": "PBE-GGA", "state": "optimized geometry", "formation_energy_mev_per_atom": -485, "dos_at_fermi_per_ev_fu": 5.75, "space_group": "No. 64", "cell": [[3.480, -8.734, 0.000], [3.480, 8.734, 0.000], [0.000, 0.000, 8.911]], "species": ["Ac", "Ac", "Ac", "Ac", "Sc", "Sc", "Sc", "Sc", "Sc", "Sc", "Pb", "Pb", "Pb", "Pb", "Pb", "Pb", "Pb", "Pb"], "fractional_positions": [[0.113, 0.887, 0.912], [0.387, 0.613, 0.412], [0.613, 0.387, 0.588], [0.887, 0.113, 0.088], [0.000, 0.000, 0.500], [0.040, 0.460, 0.750], [0.460, 0.040, 0.250], [0.500, 0.500, 0.000], [0.540, 0.960, 0.750], [0.960, 0.540, 0.250], [0.188, 0.812, 0.548], [0.209, 0.291, 0.750], [0.291, 0.209, 0.250], [0.312, 0.688, 0.048], [0.688, 0.312, 0.952], [0.709, 0.791, 0.750], [0.791, 0.709, 0.250], [0.812, 0.188, 0.452]]}